Record 1
Computed, not measured: a geometry-optimized Dy2TmMg3Tl2Zn structure at the PBE-GGA level of DFT.

E = -54.19 eV per cell

Cell and atoms, written as CIF:
```
data_Dy2TmMg3Tl2Zn
_space_group_name_H-M_alt 'A m m 2'
_space_group_IT_number 38
_cell_length_a 4.536
_cell_length_b 12.917
_cell_length_c 7.505
_cell_angle_alpha 90.00
_cell_angle_beta 90.00
_cell_angle_gamma 90.00
loop_
_space_group_symop_operation_xyz
'x,y,z'
'-x,-y,z'
'-x,y,z'
'x,-y,z'
'x,y+1/2,z+1/2'
'-x,-y+1/2,z+1/2'
'-x,y+1/2,z+1/2'
'x,-y+1/2,z+1/2'
loop_
_atom_site_label
_atom_site_type_symbol
_atom_site_fract_x
_atom_site_fract_y
_atom_site_fract_z
Dy1 Dy 0.000 0.208 0.000
Tm1 Tm 0.000 0.000 0.377
Mg1 Mg 0.500 0.000 0.026
Mg2 Mg 0.500 0.118 0.673
Tl1 Tl 0.500 0.165 0.292
Zn1 Zn 0.000 0.000 0.789
```

Record 2
Computed, not measured: a geometry-optimized GdTmCd2 structure at the PBE-GGA level of DFT.

ΔE_f = -0.32 eV per atom

Cell and atoms, written as CIF:
```
data_GdTmCd2
_space_group_name_H-M_alt 'C m c m'
_space_group_IT_number 63
_space_group_name_Hall '-C 2c 2'
_cell_length_a 7.394
_cell_length_b 10.565
_cell_length_c 5.277
_cell_angle_alpha 90.00
_cell_angle_beta 90.00
_cell_angle_gamma 90.00
loop_
_atom_site_label
_atom_site_type_symbol
_atom_site_fract_x
_atom_site_fract_y
_atom_site_fract_z
Gd1 Gd 0.000 0.135 0.250
Tm1 Tm 0.000 0.378 0.750
Cd1 Cd 0.246 0.119 0.750
```